DFT (PBE-GGA) results for a relaxed structure of TmTh2Ti.

Cell lengths 5.388, 5.388, 5.388 Å; angles 60.00, 60.00, 60.00 degrees
Atoms (fractional coordinates):
Tm  0.000  0.000  0.000
Th  0.250  0.250  0.250
Th  0.750  0.750  0.750
Ti  0.500  0.500  0.500

## Properties
density: 10.22 g/cm3
space-group type: Fm-3m, No. 225
DOS(E_F): 6.36 states/eV/f.u.
energy relative to the elements: 204 meV/atom
calculated volume: 27.66 Å³/atom
excess energy over the best structure of this formula in the dataset: 79 meV per atom

=====

DFT (PBE-GGA) results for a relaxed structure of LaTbPrHo.

Cell lengths 6.308, 6.308, 6.308 Å; angles 131.80, 131.80, 70.55 degrees
Atoms (fractional coordinates):
La  0.000  0.000  0.000
Tb  0.500  0.500  0.000
Pr  0.750  0.250  0.500
Ho  0.250  0.750  0.500

## Properties
density: 7.34 g/cm3
space-group type: I-4m2, No. 119
DOS(E_F): 6.65 states/eV/f.u.
energy relative to the elements: 28 meV/atom
calculated volume: 34.16 Å³/atom
excess energy over the best structure of this formula in the dataset: 0 meV per atom

=====

DFT (PBE-GGA) results for a relaxed structure of LiLa2InCl.

Cell lengths 5.641, 5.641, 4.392 Å; angles 90.00, 90.00, 90.00 degrees
Atoms (fractional coordinates):
Li  0.000  0.000  0.000
La  0.000  0.500  0.500
La  0.500  0.000  0.500
In  0.500  0.500  0.000
Cl  0.000  0.000  0.500

## Properties
density: 5.17 g/cm3
space-group type: P4/mmm, No. 123
DOS(E_F): 2.62 states/eV/f.u.
formation energy without anion corrections: -3.83 eV per formula unit
calculated volume: 27.96 Å³/atom

=====

DFT (PBE-GGA) results for a relaxed structure of La6Sb5As.

Cell lengths 7.943, 7.943, 7.941 Å; angles 99.61, 99.61, 119.96 degrees
Atoms (fractional coordinates):
La  0.081  0.405  0.744
La  0.242  0.242  0.254
La  0.405  0.081  0.744
La  0.595  0.919  0.256
La  0.758  0.758  0.746
La  0.919  0.595  0.256
Sb  0.170  0.830  0.000
Sb  0.334  0.666  0.500
Sb  0.500  0.500  0.000
Sb  0.666  0.334  0.500
Sb  0.830  0.170  0.000
As  0.000  0.000  0.500

## Properties
density: 6.16 g/cm3
space-group type: C2/m, No. 12
DOS(E_F): 1.00 states/eV/f.u.
formation energy without anion corrections: -15.80 eV per formula unit
calculated volume: 34.10 Å³/atom

=====

DFT (PBE-GGA) results for a relaxed structure of Cs2CoBr6.

Cell lengths 7.403, 7.403, 14.709 Å; angles 90.00, 90.00, 90.00 degrees
Atoms (fractional coordinates):
Cs  0.000  0.000  0.166
Cs  0.000  0.000  0.834
Cs  0.500  0.500  0.334
Cs  0.500  0.500  0.666
Co  0.000  0.000  0.500
Co  0.500  0.500  0.000
Br  0.163  0.163  0.383
Br  0.163  0.163  0.617
Br  0.228  0.772  0.500
Br  0.272  0.272  0.000
Br  0.337  0.663  0.117
Br  0.337  0.663  0.883
Br  0.663  0.337  0.117
Br  0.663  0.337  0.883
Br  0.728  0.728  0.000
Br  0.772  0.228  0.500
Br  0.837  0.837  0.383
Br  0.837  0.837  0.617

## Properties
density: 3.31 g/cm3
space-group type: P4_2/mnm, No. 136
DOS(E_F): 22.16 states/eV/f.u.
formation energy without anion corrections: -7.47 eV per formula unit
calculated volume: 44.78 Å³/atom

=====

DFT (PBE-GGA) results for a relaxed structure of Ba2CaHfBr.

Cell lengths 6.774, 6.774, 5.370 Å; angles 90.00, 90.00, 90.00 degrees
Atoms (fractional coordinates):
Ba  0.000  0.500  0.000
Ba  0.500  0.000  0.000
Ca  0.000  0.000  0.000
Hf  0.000  0.000  0.500
Br  0.500  0.500  0.500

## Properties
density: 3.86 g/cm3
space-group type: P4/mmm, No. 123
DOS(E_F): 7.80 states/eV/f.u.
formation energy without anion corrections: 3.57 eV per formula unit
calculated volume: 49.29 Å³/atom

=====

DFT (PBE-GGA) results for a relaxed structure of Tb3Th2Zr.

Cell lengths 11.788, 11.788, 9.684 Å; angles 107.01, 107.01, 16.61 degrees
Atoms (fractional coordinates):
Tb  0.058  0.058  0.286
Tb  0.313  0.313  0.471
Tb  0.429  0.429  0.035
Tb  0.571  0.571  0.965
Tb  0.687  0.687  0.529
Tb  0.942  0.942  0.714
Th  0.194  0.194  0.193
Th  0.434  0.434  0.376
Th  0.566  0.566  0.624
Th  0.806  0.806  0.807
Zr  0.189  0.189  0.869
Zr  0.811  0.811  0.131

## Properties
density: 9.33 g/cm3
space-group type: C2/m, No. 12
DOS(E_F): 10.22 states/eV/f.u.
energy relative to the elements: 145 meV/atom
calculated volume: 30.63 Å³/atom

=====

DFT (PBE-GGA) results for a relaxed structure of LiIn2Rh.

Cell lengths 3.203, 3.552, 6.188 Å; angles 90.00, 90.00, 90.00 degrees
Atoms (fractional coordinates):
Li  0.000  0.000  0.000
In  0.500  0.500  0.255
In  0.500  0.500  0.745
Rh  0.000  0.000  0.500

## Properties
density: 8.01 g/cm3
space-group type: Pmmm, No. 47
DOS(E_F): 1.60 states/eV/f.u.
energy relative to the elements: -359 meV/atom
calculated volume: 17.60 Å³/atom
excess energy over the best structure of this formula in the dataset: 59 meV per atom